[1]
The following is a DFT calculation (PBE) of an optimized crystal structure of V2ZnGa4.

abc: 5.540 6.665 6.707
angles: 87.34 73.95 73.77
Space group P-1 (No. 2)
Asymmetric unit:
V (0.000, 0.000, 0.000) x1
V (0.000, 0.000, 0.500) x1
V (0.500, 0.000, 0.000) x1
V (0.500, 0.500, 0.000) x1
Zn (0.249, 0.508, 0.494) x2
Ga (0.013, 0.699, 0.232) x2
Ga (0.101, 0.299, 0.166) x2
Ga (0.397, 0.830, 0.702) x2
Ga (0.486, 0.768, 0.301) x2

Calculated values
* total DFT energy (no corrections): -4.40 eV per atom
* total magnetic moment: 3.99 Bohr magnetons per cell
* energy of formation: 11.3 kJ per mole of atoms

***

[2]
The following is a DFT calculation (PBE) of an optimized crystal structure of K2Cu3Cl8.

abc: 14.654 8.290 6.373
angles: 90.00 112.70 90.00
Space group C2/m (No. 12)
Asymmetric unit:
K (0.233, 0.000, 0.140) x4
Cu (0.000, 0.187, 0.500) x4
Cu (0.000, 0.500, 0.000) x2
Cl (0.083, 0.280, 0.851) x8
Cl (0.115, 0.000, 0.475) x4
Cl (0.135, 0.500, 0.315) x4

Calculated values
* total DFT energy (no corrections): -3.15 eV per atom
* total magnetic moment: 1.63 Bohr magnetons per cell
* E_form (uncorrected): -900 meV per atom

***

[3]
The following is a DFT calculation (PBE) of an optimized crystal structure of NiC2.

abc: 12.121 2.490 3.347
angles: 90.00 91.96 90.00
Space group C2/m (No. 12)
Asymmetric unit:
Ni (0.187, 0.000, 0.226) x4
C (0.055, 0.500, 0.600) x4
C (0.106, 0.000, 0.724) x4

Calculated values
* total DFT energy (no corrections): -7.58 eV per atom
* total magnetic moment: 0.00 Bohr magnetons per cell
* energy of formation: 47.4 kJ per mole of atoms

***

[4]
The following is a DFT calculation (PBE) of an optimized crystal structure of Dy2Ge4Ru3.

abc: 5.555 9.638 12.409
angles: 90.00 90.00 90.00
Space group Fmmm (No. 69)
Asymmetric unit:
Dy (0.000, 0.000, 0.132) x8
Ge (0.000, 0.170, 0.343) x16
Ru (0.000, 0.000, 0.500) x4
Ru (0.250, 0.250, 0.000) x8

Calculated values
* total DFT energy (no corrections): -6.65 eV per atom
* total magnetic moment: 0.00 Bohr magnetons per cell
* energy of formation: -46.9 kJ per mole of atoms

***

[5]
The following is a DFT calculation (PBE) of an optimized crystal structure of Sc2TiBe2Ir5.

abc: 9.576 9.576 3.099
angles: 90.00 90.00 90.00
Space group P4/mbm (No. 127)
Asymmetric unit:
Sc (0.175, 0.325, 0.000) x4
Ti (0.000, 0.000, 0.000) x2
Be (0.123, 0.623, 0.000) x4
Ir (0.000, 0.500, 0.500) x2
Ir (0.069, 0.790, 0.500) x8

Calculated values
* total DFT energy (no corrections): -8.14 eV per atom
* total magnetic moment: 0.00 Bohr magnetons per cell
* energy of formation: -87.8 kJ per mole of atoms

***

[6]
The following is a DFT calculation (PBE) of an optimized crystal structure of LiRe3B.

abc: 4.049 4.049 4.049
angles: 90.00 90.00 90.00
Space group Pm-3m (No. 221)
Asymmetric unit:
Li (0.000, 0.000, 0.000) x1
Re (0.000, 0.000, 0.500) x3
B (0.500, 0.500, 0.500) x1

Calculated values
* total DFT energy (no corrections): -7.07 eV per atom
* total magnetic moment: 0.00 Bohr magnetons per cell
* energy of formation: 204.3 kJ per mole of atoms

***

[7]
The following is a DFT calculation (PBE) of an optimized crystal structure of SrPb2Au2.

abc: 8.645 8.645 3.607
angles: 90.00 90.00 90.00
Space group P4/mbm (No. 127)
Asymmetric unit:
Sr (0.000, 0.000, 0.000) x2
Pb (0.135, 0.365, 0.000) x4
Au (0.162, 0.662, 0.500) x4

Calculated values
* total DFT energy (no corrections): -3.35 eV per atom
* total magnetic moment: 0.00 Bohr magnetons per cell
* energy of formation: -21.6 kJ per mole of atoms

***

[8]
The following is a DFT calculation (PBE) of an optimized crystal structure of AlTlPb2.

abc: 4.600 4.600 22.566
angles: 90.00 90.00 90.00
Space group I-42d (No. 122)
Asymmetric unit:
Al (0.000, 0.000, 0.000) x4
Tl (0.000, 0.000, 0.500) x4
Pb (0.243, 0.250, 0.125) x8

Calculated values
* total DFT energy (no corrections): -3.11 eV per atom
* total magnetic moment: 0.00 Bohr magnetons per cell
* energy of formation: 25.7 kJ per mole of atoms

***

[9]
The following is a DFT calculation (PBE) of an optimized crystal structure of NiSnH.

abc: 7.911 7.911 3.017
angles: 90.00 90.00 90.00
Space group P4_2/m (No. 84)
Asymmetric unit:
Ni (0.104, 0.629, 0.000) x4
Sn (0.188, 0.368, 0.500) x4
H (0.088, 0.723, 0.500) x4

Calculated values
* total DFT energy (no corrections): -4.36 eV per atom
* total magnetic moment: 0.00 Bohr magnetons per cell

***

[10]
The following is a DFT calculation (PBE) of an optimized crystal structure of RbNpMn2Cl8.

abc: 6.5211 6.5211 31.2379
angles: 90.00 90.00 120.00
Space group R32 (No. 155, hexagonal axes)
Asymmetric unit:
Rb (0.0000, 0.0000, 0.0000) x3
Np (0.0000, 0.0000, 0.5000) x3
Mn (0.0000, 0.0000, 0.2498) x6
Cl (0.0000, 0.0000, 0.3225) x6
Cl (0.0062, 0.3263, 0.5568) x18

Calculated values
* total DFT energy (no corrections): -5.32 eV per atom
* total magnetic moment: 18.00 Bohr magnetons per cell
* E_form (uncorrected): -1400 meV per atom

***

[11]
The following is a DFT calculation (PBE) of an optimized crystal structure of TbFeGe.

abc: 5.3703 5.3703 38.9418
angles: 90.00 90.00 120.00
Space group R-3m (No. 166, hexagonal axes)
Asymmetric unit:
Tb (0.0000, 0.0000, 0.0439) x6
Tb (0.0000, 0.0000, 0.1804) x6
Tb (0.0000, 0.0000, 0.2614) x6
Fe (0.0270, 0.5135, 0.7798) x18
Ge (0.0000, 0.0000, 0.4000) x6
Ge (0.0000, 0.0000, 0.5000) x3
Ge (0.0000, 0.5000, 0.0000) x9

Calculated values
* total DFT energy (no corrections): -6.24 eV per atom
* total magnetic moment: 28.72 Bohr magnetons per cell
* energy of formation: -32.2 kJ per mole of atoms

***

[12]
The following is a DFT calculation (PBE) of an optimized crystal structure of La8Pr3Dy.

abc: 6.826 11.465 11.826
angles: 90.00 90.00 90.00
Space group Immm (No. 71)
Asymmetric unit:
La (0.000, 0.166, 0.248) x8
La (0.224, 0.272, 0.500) x8
Pr (0.000, 0.000, 0.500) x2
Pr (0.000, 0.500, 0.263) x4
Dy (0.000, 0.000, 0.000) x2

Calculated values
* total DFT energy (no corrections): -4.60 eV per atom
* total magnetic moment: 0.00 Bohr magnetons per cell
* energy of formation: 25.7 kJ per mole of atoms